# 1
TaTc2Pt after structural relaxation. Source: Alexandria via LeMat-Bulk, functional PBEsol.

## Properties
DOS(E_F): 5.35 states/eV/f.u.
total energy: -10.49 eV/atom
energy of formation: 0.020 eV per atom
calculated density: 15.57 g/cm³

Cell and atoms, written as POSCAR:
```
TaTc2Pt
1.0
0.0000 3.1243 3.1243
3.1243 0.0000 3.1243
3.1243 3.1243 0.0000
Ta Tc Pt
1 2 1
Cartesian
0.0000 0.0000 0.0000 Ta
3.1243 3.1243 3.1243 Tc
4.6864 4.6864 4.6864 Tc
1.5621 1.5621 1.5621 Pt
```

# 2
LiScPt after structural relaxation. Source: Alexandria via LeMat-Bulk, functional PBEsol.

## Properties
DOS(E_F): 1.84 states/eV/f.u.
total energy: -5.88 eV/atom
energy of formation: -0.704 eV per atom
calculated density: 8.36 g/cm³

Cell and atoms, written as POSCAR:
```
LiScPt
1.0
-1.6947 1.6947 4.2682
1.6947 -1.6947 4.2682
1.6947 1.6947 -4.2682
Li Sc Pt
1 1 1
Cartesian
0.0000 0.0000 0.0000 Li
0.0000 0.0000 2.6337 Sc
0.0000 0.0000 5.6053 Pt
```

# 3
YCu2Te after structural relaxation. Source: Alexandria via LeMat-Bulk, functional PBEsol.

## Properties
E_form (uncorrected): -0.343 eV/atom
DOS(E_F): 1.62 states/eV/f.u.
total energy: -5.10 eV/atom
calculated density: 6.94 g/cm³

Cell and atoms, written as POSCAR:
```
YCu2Te
1.0
3.7624 0.0000 0.0000
0.0000 4.2649 0.0000
0.0000 0.0000 5.1262
Y Cu Te
1 2 1
Cartesian
0.0000 0.0000 0.0000 Y
1.8812 2.1324 1.1555 Cu
1.8812 2.1324 3.9707 Cu
1.8812 0.0000 2.5631 Te
```

# 4
MgFeBr2 after structural relaxation. Source: Alexandria via LeMat-Bulk, functional PBEsol.

## Properties
E_form (uncorrected): -0.244 eV/atom
DOS(E_F): 2.30 states/eV/f.u.
total energy: -3.85 eV/atom
calculated density: 4.19 g/cm³

Cell and atoms, written as POSCAR:
```
MgFeBr2
1.0
-1.7838 2.0569 6.4853
1.7838 -2.0569 6.4853
1.7838 2.0569 -6.4853
Mg Fe Br
1 1 2
Cartesian
0.0000 0.0000 0.0000 Mg
0.0000 0.0000 6.4853 Fe
1.7838 0.0000 4.6793 Br
0.0000 2.0569 1.8060 Br
```

# 5
Mo3Pb after structural relaxation. Source: Alexandria via LeMat-Bulk, functional PBEsol.

## Properties
DOS(E_F): 3.27 states/eV/f.u.
total energy: -9.22 eV/atom
energy of formation: 0.610 eV per atom
calculated density: 12.18 g/cm³

Cell and atoms, written as POSCAR:
```
Mo3Pb
1.0
0.0000 3.2318 3.2318
3.2318 0.0000 3.2318
3.2318 3.2318 0.0000
Mo Pb
3 1
Cartesian
0.0000 0.0000 0.0000 Mo
1.6159 1.6159 1.6159 Mo
4.8477 4.8477 4.8477 Mo
3.2318 3.2318 3.2318 Pb
```

# 6
LaInIr4 after structural relaxation. Source: Alexandria via LeMat-Bulk, functional PBEsol.

## Properties
DOS(E_F): 7.91 states/eV/f.u.
total energy: -8.22 eV/atom
energy of formation: -0.288 eV per atom
calculated density: 15.90 g/cm³

Cell and atoms, written as POSCAR:
```
LaInIr4
1.0
0.0000 3.7658 3.7658
3.7658 0.0000 3.7658
3.7658 3.7658 0.0000
La In Ir
1 1 4
Cartesian
0.0000 0.0000 0.0000 La
5.6488 5.6488 5.6488 In
2.8290 2.8290 2.8290 Ir
4.7027 4.7027 2.8290 Ir
4.7027 2.8290 4.7027 Ir
2.8290 4.7027 4.7027 Ir
```

# 7
SrIn2Fe after structural relaxation. Source: Alexandria via LeMat-Bulk, functional PBEsol.

## Properties
DOS(E_F): 4.32 states/eV/f.u.
total energy: -4.17 eV/atom
energy of formation: 0.026 eV per atom
calculated density: 6.94 g/cm³

Cell and atoms, written as POSCAR:
```
SrIn2Fe
1.0
3.4058 0.0000 0.0000
0.0000 3.4058 0.0000
0.0000 0.0000 7.6989
Sr In Fe
1 2 1
Cartesian
0.0000 0.0000 0.0000 Sr
1.7029 1.7029 2.4038 In
1.7029 1.7029 5.2951 In
0.0000 0.0000 3.8494 Fe
```

# 8
KY2Ir after structural relaxation. Source: Alexandria via LeMat-Bulk, functional PBEsol.

## Properties
DOS(E_F): 3.69 states/eV/f.u.
total energy: -6.05 eV/atom
energy of formation: 0.102 eV per atom
calculated density: 7.30 g/cm³

Cell and atoms, written as POSCAR:
```
KY2Ir
1.0
0.0000 3.5975 3.5975
3.5975 0.0000 3.5975
3.5975 3.5975 0.0000
K Y Ir
1 2 1
Cartesian
0.0000 0.0000 0.0000 K
1.7987 1.7987 1.7987 Y
5.3962 5.3962 5.3962 Y
3.5975 3.5975 3.5975 Ir
```